[1]
Here is a geometry-optimized PrDy5YSc2 structure from Alexandria via LeMat-Bulk. Energies are from PBE-GGA.

a = 5.6026 Å, b = 11.2003 Å, c = 9.3075 Å
α = 90.00°, β = 90.00°, γ = 104.48°
Closest atoms and distances in Å follow each position.
Positions (direct):
Pr 0.8154 0.6307 0.5178  2 Sc 3.16-3.25, 5 Dy 3.38-3.46, 2 Y 3.52
Pr 0.1846 0.3693 0.0178  2 Sc 3.16-3.25, 5 Dy 3.38-3.46, 2 Y 3.52
Dy 0.9933 0.9866 0.5197  1 Sc 3.17, 2 Y 3.54
Dy 0.3083 0.6167 0.7206  2 Pr 3.38, 5 Dy 3.39-3.72, 3 Sc 3.42-3.62, 1 Y 3.49
Dy 0.4679 0.9359 0.7491  2 Y 3.20-3.38, 5 Dy 3.22-3.57, 2 Sc 3.38
Dy 0.3924 0.7849 0.0466  4 Sc 3.20-3.48, 3 Dy 3.22-3.57, 1 Y 3.47
Dy 0.6076 0.2151 0.5466  4 Sc 3.20-3.48, 3 Dy 3.22-3.57, 1 Y 3.47
Dy 0.2652 0.5303 0.3339  1 Y 3.10, 1 Sc 3.30, 2 Dy 3.39, 3 Pr 3.42-3.46
Dy 0.5321 0.0641 0.2491  2 Y 3.20-3.38, 5 Dy 3.22-3.57, 2 Sc 3.38
Dy 0.0067 0.0134 0.0197  1 Sc 3.17, 2 Y 3.54
Dy 0.7348 0.4697 0.8339  1 Y 3.10, 1 Sc 3.30, 2 Dy 3.39, 3 Pr 3.42-3.46
Dy 0.6917 0.3833 0.2206  2 Pr 3.38, 5 Dy 3.39-3.72, 3 Sc 3.42-3.62, 1 Y 3.49
Sc 0.8583 0.7166 0.1935  1 Pr 3.16, 2 Dy 3.20, 1 Sc 3.49
Sc 0.1417 0.2834 0.6935  1 Pr 3.16, 2 Dy 3.20, 1 Sc 3.49
Sc 0.8868 0.7736 0.8248  8 Dy 3.17-3.48, 1 Pr 3.25, 1 Sc 3.49
Sc 0.1132 0.2264 0.3248  8 Dy 3.17-3.48, 1 Pr 3.25, 1 Sc 3.49
Y 0.4035 0.8070 0.4180  4 Dy 3.10-3.47
Y 0.5965 0.1930 0.9180  4 Dy 3.10-3.47

* D(E_F): 1.49 states/eV/atom
* calculated volume: 282.74 Å³/f.u.
* crystal system: orthorhombic
* calculated total energy: -90.71 eV for the cell shown
* ΔH_f (0 K): 1.56 eV per formula unit


[2]
Here is a geometry-optimized RbPaCuTe4 structure from Alexandria via LeMat-Bulk. Energies are from PBE-GGA.

a = 7.5158 Å, b = 6.3035 Å, c = 10.3459 Å
α = 90.00°, β = 107.43°, γ = 90.00°
Closest atoms and distances in Å follow each position.
Positions (direct):
Te 0.5698 0.2500 0.4065  1 Cu 2.54
Te 0.0120 0.9952 0.6950  1 Cu 2.64
Te 0.0120 0.5048 0.6950  1 Cu 2.64
Te 0.9880 0.4952 0.3050  1 Cu 2.64
Te 0.5434 0.2500 0.8344  1 Cu 2.54
Te 0.9880 0.0048 0.3050  1 Cu 2.64
Te 0.4302 0.7500 0.5935  1 Cu 2.54
Te 0.4566 0.7500 0.1656  1 Cu 2.54
Rb 0.2298 0.2500 0.0497  8 Te 3.61-3.94
Rb 0.7702 0.7500 0.9503  8 Te 3.61-3.94
Pa 0.7262 0.7500 0.4428  6 Te 2.97-3.23, 1 Cu 3.22
Pa 0.2738 0.2500 0.5572  6 Te 2.97-3.23, 1 Cu 3.22
Cu 0.7228 0.2500 0.6616  4 Te 2.54-2.64
Cu 0.2772 0.7500 0.3384  4 Te 2.54-2.64

* D(E_F): 0.30 states/eV/atom
* E_form (uncorrected): -0.724 eV/atom
* calculated volume: 233.82 Å³/f.u.
* crystal system: monoclinic
* calculated total energy: -64.39 eV for the cell shown


[3]
Here is a geometry-optimized Ho8Tl3P3S structure from Alexandria via LeMat-Bulk. Energies are from PBE-GGA.

a = 7.7886 Å, b = 7.7732 Å, c = 8.8461 Å
α = 115.99°, β = 90.02°, γ = 120.03°
Closest atoms and distances in Å follow each position.
Positions (direct):
Tl 0.5000 0.5000 0.0000  6 Ho 3.17-3.19
Tl 0.0000 0.5000 0.0000  6 Ho 3.17-3.19
Tl 0.0000 0.0000 0.0000  6 Ho 3.17-3.19
P 0.5000 0.0000 0.5000  6 Ho 2.73-2.74
P 0.5000 0.5000 0.5000  6 Ho 2.73-2.74
P 0.0000 0.5000 0.5000  6 Ho 2.73-2.75
Ho 0.7336 0.9710 0.7083  2 P 2.74, 1 S 2.77
Ho 0.7624 0.0289 0.2916  2 P 2.74, 1 S 2.77
Ho 0.2376 0.9711 0.7084  2 P 2.74, 1 S 2.77
Ho 0.7344 0.4688 0.7036  3 P 2.73
Ho 0.2664 0.0290 0.2917  2 P 2.74, 1 S 2.77
Ho 0.2656 0.5312 0.2964  3 P 2.73
Ho 0.7625 0.5253 0.2917  2 P 2.74-2.75, 1 S 2.76
Ho 0.2375 0.4747 0.7083  2 P 2.74-2.75, 1 S 2.76
S 0.0000 0.0000 0.5000  6 Ho 2.76-2.77

* D(E_F): 0.65 states/eV/atom
* E_form (uncorrected): -0.985 eV/atom
* calculated volume: 399.85 Å³/f.u.
* crystal system: monoclinic
* calculated total energy: -78.85 eV for the cell shown


[4]
Here is a geometry-optimized Nd2Y5Sc structure from Alexandria via LeMat-Bulk. Energies are from PBE-GGA.

a = 5.5774 Å, b = 6.5930 Å, c = 15.6538 Å
α = 90.00°, β = 90.00°, γ = 115.02°
Closest atoms and distances in Å follow each position.
Positions (direct):
Y 0.5364 0.0728 0.2500  1 Sc 3.20, 2 Nd 3.46
Y 0.6194 0.2389 0.9504  3 Y 3.25-3.64, 3 Nd 3.30-3.47, 1 Sc 3.41
Y 0.9192 0.8384 0.9035  1 Sc 3.29, 4 Y 3.58-3.66, 1 Nd 3.61
Y 0.3806 0.7611 0.4504  3 Y 3.25-3.64, 3 Nd 3.30-3.47, 1 Sc 3.41
Y 0.9192 0.8384 0.5965  1 Sc 3.29, 4 Y 3.58-3.66, 1 Nd 3.61
Y 0.0808 0.1616 0.0965  1 Sc 3.29, 4 Y 3.58-3.66, 1 Nd 3.61
Y 0.3806 0.7611 0.0496  3 Y 3.25-3.64, 3 Nd 3.30-3.47, 1 Sc 3.41
Y 0.6194 0.2389 0.5496  3 Y 3.25-3.64, 3 Nd 3.30-3.47, 1 Sc 3.41
Y 0.4636 0.9272 0.7500  1 Sc 3.20, 2 Nd 3.46
Y 0.0808 0.1616 0.4035  1 Sc 3.29, 4 Y 3.58-3.66, 1 Nd 3.61
Nd 0.7822 0.5644 0.1336  5 Y 3.30-3.61, 2 Sc 3.33, 1 Nd 3.64
Nd 0.2178 0.4356 0.8664  5 Y 3.30-3.61, 2 Sc 3.33, 1 Nd 3.64
Nd 0.7822 0.5644 0.3664  5 Y 3.30-3.61, 2 Sc 3.33, 1 Nd 3.64
Nd 0.2178 0.4356 0.6336  5 Y 3.30-3.61, 2 Sc 3.33, 1 Nd 3.64
Sc 0.7312 0.4624 0.7500  5 Y 3.20-3.41, 4 Nd 3.33
Sc 0.2688 0.5376 0.2500  5 Y 3.20-3.41, 4 Nd 3.33

* D(E_F): 1.87 states/eV/atom
* calculated volume: 260.79 Å³/f.u.
* energy above the lowest structure with this stoichiometry: 58 meV/atom
* crystal system: orthorhombic
* calculated total energy: -94.42 eV for the cell shown
* ΔH_f (0 K): 0.98 eV per formula unit